(1)
A plane-wave DFT calculation with SCAN was carried out for a PBEsol-optimized structure of Cd2Ag.

Structure (extended XYZ):
```
6
Lattice="-2.645 0.609 -1.355 1.036 -5.481 -1.089 -3.204 -0.132 6.196" Properties=species:S:1:pos:R:3 pbc="T T T"
Ag -2.598 -0.409 4.887
Ag -2.216 -4.595 -1.135
Cd -3.103 -1.179 2.131
Cd -2.966 -3.373 4.274
Cd -1.848 -1.631 -0.522
Cd -1.711 -3.825 1.622
```

* V: 18.7 Å³/atom
* offset from the most stable computed form: 0.004 eV/atom
* space-group type: C2/m (12)
* ΔH_f (0 K): -0.05 eV per atom
* ρ: 9.8 g/cm3

***

(2)
A plane-wave DFT calculation with SCAN was carried out for a PBEsol-optimized structure of CdAg7.

Structure (extended XYZ):
```
8
Lattice="5.757 0.000 0.000 2.878 4.986 0.000 2.878 1.662 4.700" Properties=species:S:1:pos:R:3 pbc="T T T"
Ag 2.878 0.000 0.000
Ag 4.318 2.493 0.000
Ag 1.439 2.493 0.000
Ag 4.318 0.831 2.350
Ag 1.439 0.831 2.350
Ag 2.878 3.324 2.350
Ag 5.757 3.324 2.350
Cd 0.000 0.000 0.000
```

* V: 16.9 Å³/atom
* space-group type: Fm-3m (225)
* ΔH_f (0 K): -0.02 eV per atom
* ρ: 10.7 g/cm3

***

(3)
A plane-wave DFT calculation with SCAN was carried out for a PBEsol-optimized structure of Cd2Ag.

Structure (extended XYZ):
```
3
Lattice="-0.026 2.303 -1.855 0.744 -2.939 -3.660 -4.694 -0.498 -0.554" Properties=species:S:1:pos:R:3 pbc="T T T"
Ag 0.000 0.000 0.000
Cd -2.360 0.902 -1.204
Cd 0.359 -0.318 -2.757
```

* V: 22.3 Å³/atom
* offset from the most stable computed form: 0.070 eV/atom
* space-group type: P4/mmm (123)
* ΔH_f (0 K): 0.01 eV per atom
* ρ: 8.3 g/cm3

***

(4)
A plane-wave DFT calculation with SCAN was carried out for a PBEsol-optimized structure of Cd2Ag.

Structure (extended XYZ):
```
3
Lattice="-3.023 0.013 0.553 0.577 -2.382 3.205 1.718 4.832 0.742" Properties=species:S:1:pos:R:3 pbc="T T T"
Ag 0.000 0.000 0.000
Cd 0.333 2.455 1.764
Cd -1.061 0.007 2.736
```

* V: 18.7 Å³/atom
* offset from the most stable computed form: 0.028 eV/atom
* space-group type: Immm (71)
* ΔH_f (0 K): -0.03 eV per atom
* ρ: 9.9 g/cm3

***

(5)
A plane-wave DFT calculation with SCAN was carried out for a PBEsol-optimized structure of CdAg3.

Structure (extended XYZ):
```
4
Lattice="2.922 0.000 0.000 -1.461 2.531 0.000 0.000 0.000 9.357" Properties=species:S:1:pos:R:3 pbc="T T T"
Ag 0.000 1.687 2.289
Ag 0.000 1.687 7.068
Ag 0.000 0.000 0.000
Cd 0.000 0.000 4.678
```

* V: 17.3 Å³/atom
* space-group type: P-6m2 (187)
* ΔH_f (0 K): -0.01 eV per atom
* ρ: 10.5 g/cm3

***

(6)
A plane-wave DFT calculation with SCAN was carried out for a PBEsol-optimized structure of Cd4Ag5.

Structure (extended XYZ):
```
18
Lattice="-1.336 -3.021 4.596 -3.237 -5.780 -4.739 7.874 -0.355 2.055" Properties=species:S:1:pos:R:3 pbc="T T T"
Ag 4.443 -2.511 4.868
Ag -3.240 -6.262 0.171
Ag 0.429 -4.159 2.619
Ag 2.096 -0.865 1.783
Ag -1.333 -2.539 -0.313
Ag 2.872 -4.997 -0.707
Ag 4.170 -2.163 -0.210
Ag -0.201 -5.482 -0.176
Ag 0.467 -3.972 -2.475
Ag 3.503 -3.674 2.088
Cd 0.000 0.000 0.000
Cd -0.668 -1.510 2.298
Cd 1.843 -2.394 4.190
Cd -2.171 -4.354 1.735
Cd 1.960 -6.184 1.733
Cd 4.696 -0.982 2.461
Cd -2.401 -4.447 -1.878
Cd 1.341 -2.972 0.179
```

* V: 18.1 Å³/atom
* offset from the most stable computed form: 0.024 eV/atom
* space-group type: P6_3/mcm (193)
* ΔH_f (0 K): -0.02 eV per atom
* ρ: 10.1 g/cm3

***

(7)
A plane-wave DFT calculation with SCAN was carried out for a PBEsol-optimized structure of CdAg3.

Structure (extended XYZ):
```
8
Lattice="4.802 0.000 0.000 0.000 5.770 0.000 0.000 2.885 4.970" Properties=species:S:1:pos:R:3 pbc="T T T"
Ag 3.602 2.885 4.124
Ag 3.602 1.437 1.636
Ag 3.602 4.333 1.636
Ag 1.201 5.770 0.846
Ag 1.201 7.218 3.334
Ag 1.201 4.322 3.334
Cd 3.602 5.770 4.091
Cd 1.201 2.885 0.879
```

* V: 17.2 Å³/atom
* space-group type: Cmcm (63)
* ΔH_f (0 K): -0.04 eV per atom
* ρ: 10.5 g/cm3

***

(8)
A plane-wave DFT calculation with SCAN was carried out for a PBEsol-optimized structure of Cd2Ag.

Structure (extended XYZ):
```
3
Lattice="2.864 0.000 0.000 0.000 4.788 0.000 0.000 -2.394 4.147" Properties=species:S:1:pos:R:3 pbc="T T T"
Ag 1.432 0.000 0.000
Cd 0.000 2.394 1.382
Cd 0.000 0.000 2.764
```

* V: 19.0 Å³/atom
* offset from the most stable computed form: 0.085 eV/atom
* space-group type: P6/mmm (191)
* ΔH_f (0 K): 0.03 eV per atom
* ρ: 9.7 g/cm3